Computed, not measured: a relaxed structure of MgP2Au at the PBE level of DFT.

Values from the calculation:
Calculated volume (Å³/cell): 73.3
Magnetic moment (μB per formula unit): 0.00
Energy of formation from the pure elements (eV/atom): -0.175
E (eV per cell): -16.4

Cell: 6.3824 6.3824 3.6808 Å, 62.97 62.97 33.75°
Fractional positions:
Au 0.5087 0.5087 0.6488
Mg 0.2328 0.2328 0.1160
P 0.9799 0.9799 0.1894
P 0.7786 0.7786 0.5458

=====

Computed, not measured: a relaxed structure of MgPAu at the PBE level of DFT.

Values from the calculation:
Calculated volume (Å³/cell): 141.8
Magnetic moment (μB per formula unit): 0.00
Energy of formation from the pure elements (eV/atom): -0.354
E (eV per cell): -22.7

Cell: 4.4525 4.4537 8.2350 Å, 90.00 89.99 60.26°
Fractional positions:
P 0.5547 0.8070 0.7480
P 0.8655 0.1139 0.2479
Mg 0.2179 0.4799 0.7480
Mg 0.1920 0.4511 0.2483
Au 0.6773 0.9935 0.4980
Au 0.6774 0.9935 0.9980